Record 1
First-principles (PBE-GGA) data for crystalline LaPr2ThSb4 at its relaxed geometry, as listed in Alexandria via LeMat-Bulk.

Cell and atoms, written as POSCAR:
```
LaPr2ThSb4
1.0
7.885 0.000 0.000
0.000 4.562 0.000
-2.631 0.000 7.451
La Pr Th Sb
1 2 1 4
Direct
0.000 0.000 0.000
0.500 0.000 0.500
0.500 0.500 0.000
0.000 0.500 0.500
0.248 0.000 0.746
0.250 0.500 0.254
0.750 0.500 0.746
0.752 0.000 0.254
```

Record 2
PBE-GGA CePIr, optimized geometry; energy of formation from the pure elements = -0.56 eV/atom
1.0
-1.611 1.611 5.293
1.611 -1.611 5.293
1.611 1.611 -5.293
Ce P Ir
1 1 1
Direct
0.000 0.000 0.000
0.294 0.294 0.000
0.701 0.701 0.000

Record 3
PBE-GGA Tl2In8Hg3, optimized geometry; energy of formation from the pure elements = 0.02 eV/atom; offset from the most stable computed form = 0 kJ/mol of formula units
1.0
8.583 0.000 0.000
0.000 3.357 0.000
-2.479 0.000 12.626
Tl In Hg
2 8 3
Direct
0.170 0.000 0.449
0.830 0.000 0.551
0.078 0.500 0.216
0.222 0.000 0.710
0.380 0.000 0.146
0.489 0.500 0.375
0.511 0.500 0.625
0.620 0.000 0.854
0.778 0.000 0.290
0.922 0.500 0.784
0.000 0.000 0.000
0.314 0.500 0.928
0.686 0.500 0.072

Record 4
PBE-GGA BiIrPd3, optimized geometry; energy of formation from the pure elements = 0.87 eV/atom
1.0
4.862 0.000 0.000
0.000 4.862 0.000
0.000 0.000 4.862
Bi Ir Pd
1 1 3
Direct
0.000 0.000 0.000
0.500 0.500 0.500
0.000 0.500 0.500
0.500 0.000 0.500
0.500 0.500 0.000

Record 5
PBE-GGA Te3PtC, optimized geometry; offset from the most stable computed form = 267 kJ/mol of formula units
1.0
5.317 0.000 0.000
0.000 5.317 0.000
0.000 0.000 5.317
Te Pt C
3 1 1
Direct
0.000 0.000 0.500
0.000 0.500 0.000
0.500 0.000 0.000
0.000 0.000 0.000
0.500 0.500 0.500

Record 6
PBE-GGA ZrPb2O2, optimized geometry; offset from the most stable computed form = 653 kJ/mol of formula units
1.0
6.523 0.000 0.000
0.000 6.523 0.000
0.000 0.000 4.113
Zr Pb O
1 2 2
Direct
0.000 0.000 0.000
0.000 0.500 0.000
0.500 0.000 0.000
0.000 0.000 0.500
0.500 0.500 0.500

Computed VASP energy (eV for the cell shown) in order:
-47.71 -21.88 -27.25 -23.96 -16.14 -25.88